(1)
! HoMgAg (PBE, optimized geometry); values from VASP
&SYSTEM
  ibrav = 0, nat = 9, ntyp = 3
/
ATOMIC_SPECIES
Ho 164.93 Ho.upf
Mg 24.30 Mg.upf
Ag 107.87 Ag.upf
CELL_PARAMETERS angstrom
7.701 0.000 0.000
-3.851 6.669 0.000
0.000 0.000 4.056
ATOMIC_POSITIONS crystal
Ho 0.000 0.412 0.000
Ho 0.412 0.000 0.000
Ho 0.588 0.588 0.000
Mg 0.000 0.752 0.500
Mg 0.248 0.248 0.500
Mg 0.752 0.000 0.500
Ag 0.000 0.000 0.000
Ag 0.333 0.667 0.500
Ag 0.667 0.333 0.500
! Volume ... 23.148 Å³ per atom
! Final energy ... -29.34 eV for the cell shown
! SG ... P-62m

=====

(2)
! HoMgAg (PBE, optimized geometry); values from VASP
&SYSTEM
  ibrav = 0, nat = 3, ntyp = 3
/
ATOMIC_SPECIES
Ho 164.93 Ho.upf
Mg 24.30 Mg.upf
Ag 107.87 Ag.upf
CELL_PARAMETERS angstrom
0.000 3.378 3.378
3.378 0.000 3.378
3.378 3.378 0.000
ATOMIC_POSITIONS crystal
Ho 0.000 0.000 0.000
Mg 0.750 0.750 0.750
Ag 0.500 0.500 0.500
! Volume ... 25.702 Å³ per atom
! Final energy ... -8.11 eV for the cell shown
! SG ... F-43m

=====

(3)
! HoMgAg (PBE, optimized geometry); values from VASP
&SYSTEM
  ibrav = 0, nat = 3, ntyp = 3
/
ATOMIC_SPECIES
Ho 164.93 Ho.upf
Mg 24.30 Mg.upf
Ag 107.87 Ag.upf
CELL_PARAMETERS angstrom
0.000 3.466 3.466
3.466 0.000 3.466
3.466 3.466 0.000
ATOMIC_POSITIONS crystal
Ho 0.000 0.000 0.000
Mg 0.250 0.250 0.250
Ag 0.750 0.750 0.750
! Volume ... 27.763 Å³ per atom
! Final energy ... -7.76 eV for the cell shown
! SG ... F-43m

=====

(4)
! HoMgAgO3 (PBE, optimized geometry); values from VASP
&SYSTEM
  ibrav = 0, nat = 12, ntyp = 4
/
ATOMIC_SPECIES
Ho 164.93 Ho.upf
Mg 24.30 Mg.upf
Ag 107.87 Ag.upf
O 16.00 O.upf
CELL_PARAMETERS angstrom
7.109 -1.603 0.000
7.109 1.603 0.000
-1.667 0.000 6.528
ATOMIC_POSITIONS crystal
Ho 0.000 0.000 0.000
Ho 0.000 0.000 0.500
Mg 0.319 0.319 0.653
Mg 0.681 0.681 0.347
Ag 0.319 0.319 0.143
Ag 0.681 0.681 0.857
O 0.155 0.155 0.141
O 0.164 0.164 0.544
O 0.497 0.497 0.745
O 0.503 0.503 0.255
O 0.836 0.836 0.456
O 0.845 0.845 0.859
! Volume ... 12.398 Å³ per atom
! Final energy ... -74.34 eV for the cell shown
! SG ... C2/m

=====

> What is the formula in the second record?

HoMgAg